VASP calculation (GGA-PBE) on an optimized crystal structure of In12H5Ir3.

Results
Magnetization (μB/f.u.): 0.000
Calculated volume (Å³ per atom): 19.114
Space-group type: Ia-3d
Energy (Ry per atom): -0.2663

Cell lengths 12.5706, 12.5706, 12.5706 Å; angles 109.47, 109.47, 109.47 degrees
Positions (direct):
In1 0.9103 0.8162 0.5330
In2 0.7168 0.5941 0.1838
In3 0.2168 0.5330 0.6227
In4 0.6838 0.2168 0.5941
In5 0.9670 0.3773 0.2832
Ir1 0.7500 0.8750 0.6250
In6 0.1227 0.4059 0.0897
H1 0.5000 0.0000 0.5000
H2 0.0000 0.5000 0.5000
In7 0.0897 0.1838 0.4670
H3 0.0000 0.5000 0.0000
Ir2 0.6250 0.3750 0.7500
In8 0.0330 0.4103 0.8162
In9 0.5941 0.8773 0.4103
H4 0.7500 0.1250 0.8750
Ir3 0.2500 0.6250 0.8750
H5 0.2500 0.8750 0.1250
Ir4 0.3750 0.7500 0.6250
In10 0.3162 0.7832 0.4059
H6 0.0000 0.0000 0.5000
Ir5 0.3750 0.6250 0.2500
Ir6 0.8750 0.1250 0.2500
H7 0.8750 0.2500 0.6250
H8 0.8750 0.6250 0.7500
H9 0.5000 0.5000 0.5000
In11 0.4670 0.6838 0.0897
In12 0.6227 0.5897 0.9059
In13 0.9059 0.8162 0.7832
Ir7 0.7500 0.3750 0.1250
H10 0.6250 0.8750 0.2500
In14 0.0941 0.9103 0.3773
Ir8 0.2500 0.1250 0.3750
In15 0.3773 0.9670 0.7832
H11 0.7500 0.6250 0.3750
Ir9 0.1250 0.8750 0.7500
In16 0.1227 0.7168 0.5330
In17 0.4103 0.0330 0.3162
In18 0.0897 0.9059 0.1227
In19 0.7832 0.3162 0.9059
In20 0.7168 0.1227 0.0330
In21 0.5330 0.2168 0.1227
In22 0.8773 0.5941 0.9103
H12 0.1250 0.3750 0.2500
In23 0.7832 0.4670 0.3773
H13 0.5000 0.5000 0.0000
In24 0.1838 0.0941 0.7168
H14 0.0000 0.0000 0.0000
Ir10 0.8750 0.7500 0.1250
In25 0.4059 0.1227 0.5897
In26 0.0941 0.1838 0.2168
In27 0.2832 0.4059 0.8162
Ir11 0.6250 0.2500 0.3750
In28 0.2832 0.8773 0.9670
In29 0.3773 0.4103 0.0941
In30 0.6838 0.4670 0.5897
In31 0.8162 0.9059 0.2832
In32 0.0330 0.6227 0.7168
H15 0.3750 0.1250 0.7500
In33 0.6227 0.0330 0.2168
H16 0.6250 0.7500 0.8750
In34 0.5897 0.9670 0.6838
H17 0.2500 0.3750 0.6250
H18 0.3750 0.2500 0.1250
In35 0.9670 0.5897 0.1838
Ir12 0.1250 0.2500 0.8750
In36 0.9059 0.0897 0.6227
In37 0.4103 0.3773 0.5941
In38 0.4059 0.2832 0.3162
In39 0.2168 0.6838 0.0941
In40 0.8162 0.9103 0.0330
In41 0.5330 0.3162 0.9103
In42 0.8773 0.2832 0.4670
H19 0.5000 0.0000 0.0000
In43 0.5897 0.6227 0.4059
In44 0.3162 0.5330 0.4103
In45 0.5941 0.7168 0.6838
In46 0.4670 0.7832 0.8773
In47 0.9103 0.0941 0.8773
H20 0.1250 0.7500 0.3750
In48 0.1838 0.0897 0.9670

=====

VASP calculation (GGA-PBE) on an optimized crystal structure of InH2Ir2.

Results
Magnetization (μB/f.u.): 0.000
Calculated volume (Å³ per atom): 11.493
Space-group type: P4/mbm
Energy (Ry per atom): -0.3873

Cell lengths 5.6156, 5.6156, 3.6444 Å; angles 90.00, 90.00, 90.00 degrees
Positions (direct):
H1 0.3758 0.1242 0.0000
In1 0.5000 0.5000 0.0000
Ir1 0.1699 0.6699 0.5000
Ir2 0.3301 0.1699 0.5000
Ir3 0.8301 0.3301 0.5000
H2 0.8758 0.3758 0.0000
Ir4 0.6699 0.8301 0.5000
H3 0.1242 0.6242 0.0000
H4 0.6242 0.8758 0.0000
In2 0.0000 0.0000 0.0000

=====

VASP calculation (GGA-PBE) on an optimized crystal structure of In2H3Ir.

Results
Magnetization (μB/f.u.): 0.000
Calculated volume (Å³ per atom): 12.881
Space-group type: Fmmm
Energy (Ry per atom): -0.3013

Cell lengths 5.0659, 5.0659, 7.0325 Å; angles 111.67, 111.67, 88.55 degrees
Positions (direct):
Ir1 0.6360 0.6360 0.2720
H1 0.8410 0.3778 0.2188
H2 0.1590 0.6222 0.7812
In1 0.2500 0.7500 0.5000
H3 0.3778 0.8410 0.2188
In2 0.1990 0.1990 0.0000
In3 0.8010 0.8010 0.0000
H4 0.7706 0.7706 0.5412
H5 0.6222 0.1590 0.7812
H6 0.2294 0.2294 0.4588
Ir2 0.3640 0.3640 0.7280
In4 0.7500 0.2500 0.5000

=====

VASP calculation (GGA-PBE) on an optimized crystal structure of InH2Ir2.

Results
Magnetization (μB/f.u.): 0.000
Calculated volume (Å³ per atom): 11.182
Space-group type: I4/mmm
Energy (Ry per atom): -0.3848

Cell lengths 3.0241, 3.0241, 6.4765 Å; angles 76.50, 76.50, 90.00 degrees
Positions (direct):
H1 0.2500 0.7500 0.5000
Ir1 0.3459 0.3459 0.3082
Ir2 0.6541 0.6541 0.6918
In1 0.0000 0.0000 0.0000
H2 0.7500 0.2500 0.5000

=====

VASP calculation (GGA-PBE) on an optimized crystal structure of InH5Ir.

Results
Magnetization (μB/f.u.): 0.000
Calculated volume (Å³ per atom): 9.274
Space-group type: C2/c
Energy (Ry per atom): -0.2952

Cell lengths 4.5344, 4.5343, 6.7474 Å; angles 77.03, 77.03, 96.34 degrees
Positions (direct):
Ir1 0.5000 0.5000 0.5000
H1 0.3440 0.2220 0.4091
In1 0.0612 0.4388 0.2500
H2 0.7039 0.2184 0.5515
H3 0.7220 0.8440 0.9091
In2 0.9388 0.5612 0.7500
H4 0.2780 0.1560 0.0909
H5 0.6560 0.7780 0.5909
Ir2 0.0000 0.0000 0.0000
H6 0.7184 0.2039 0.0515
H7 0.2767 0.2233 0.7500
H8 0.2816 0.7961 0.9485
H9 0.7233 0.7767 0.2500
H10 0.2961 0.7816 0.4485

=====

VASP calculation (GGA-PBE) on an optimized crystal structure of In2H5Ir.

Results
Magnetization (μB/f.u.): 0.000
Calculated volume (Å³ per atom): 12.933
Space-group type: P1
Energy (Ry per atom): -0.2836

Cell lengths 5.2720, 4.7852, 4.7037 Å; angles 118.83, 94.93, 89.85 degrees
Positions (direct):
H1 0.8517 0.7037 0.7699
H2 0.2994 0.7521 0.9826
In1 0.4885 0.2970 0.5367
H3 0.8522 0.1857 0.8630
Ir1 0.0672 0.0015 0.9880
H4 0.2960 0.1165 0.8325
H5 0.8622 0.0681 0.2643
In2 0.0598 0.6524 0.3170

=====

VASP calculation (GGA-PBE) on an optimized crystal structure of In3HIr.

Results
Magnetization (μB/f.u.): 0.000
Calculated volume (Å³ per atom): 17.325
Space-group type: Pm-3m
Energy (Ry per atom): -0.2683

Cell lengths 4.4246, 4.4246, 4.4246 Å; angles 90.00, 90.00, 90.00 degrees
Positions (direct):
In1 0.5000 0.0000 0.0000
In2 0.0000 0.0000 0.5000
Ir1 0.5000 0.5000 0.5000
H1 0.0000 0.0000 0.0000
In3 0.0000 0.5000 0.0000

=====

VASP calculation (GGA-PBE) on an optimized crystal structure of In3HIr.

Results
Magnetization (μB/f.u.): 0.361
Calculated volume (Å³ per atom): 27.393
Space-group type: Pm-3m
Energy (Ry per atom): -0.2827

Cell lengths 5.1547, 5.1547, 5.1547 Å; angles 90.00, 90.00, 90.00 degrees
Last column: magnetic moment on the atom in μB.
Positions (direct):
Ir1 0.0000 0.0000 0.0000  0.01
In1 0.0000 0.0000 0.5000  0.02
In2 0.0000 0.5000 0.0000  0.01
In3 0.5000 0.0000 0.0000  0.01
H1 0.5000 0.5000 0.5000  0.12

=====

VASP calculation (GGA-PBE) on an optimized crystal structure of In3H4Ir2.

Results
Magnetization (μB/f.u.): 0.000
Calculated volume (Å³ per atom): 13.659
Space-group type: C2/m
Energy (Ry per atom): -0.3248

Cell lengths 3.3565, 5.1189, 8.7964 Å; angles 59.47, 79.00, 70.86 degrees
Positions (direct):
Ir1 0.3963 0.9382 0.2691
In1 0.6656 0.3139 0.3548
H1 0.7232 0.6823 0.8713
Ir2 0.6037 0.0618 0.7309
H2 0.2768 0.3177 0.1287
H3 0.0710 0.1993 0.6587
In2 0.0000 0.0000 0.0000
H4 0.9290 0.8007 0.3413
In3 0.3344 0.6861 0.6452

=====

VASP calculation (GGA-PBE) on an optimized crystal structure of InHIr2.

Results
Magnetization (μB/f.u.): 0.000
Calculated volume (Å³ per atom): 13.386
Space-group type: I-42d
Energy (Ry per atom): -0.4212

Cell lengths 6.2706, 6.2706, 5.2036 Å; angles 52.95, 52.95, 90.00 degrees
Positions (direct):
Ir1 0.2329 0.6250 0.2500
H1 0.5000 0.5000 0.0000
H2 0.2500 0.7500 0.5000
In1 0.7500 0.2500 0.5000
Ir2 0.8750 0.7671 0.7500
Ir3 0.3750 0.4829 0.7500
Ir4 0.5171 0.1250 0.2500
In2 0.0000 0.0000 0.0000

=====

VASP calculation (GGA-PBE) on an optimized crystal structure of In3H3Ir.

Results
Magnetization (μB/f.u.): 0.000
Calculated volume (Å³ per atom): 16.267
Space-group type: P-1
Energy (Ry per atom): -0.2815

Cell lengths 3.4780, 5.1622, 14.4012 Å; angles 105.88, 83.06, 70.40 degrees
Positions (direct):
H1 0.1148 0.0703 0.7042
In1 0.8327 0.4261 0.9049
In2 0.1673 0.5739 0.0951
In3 0.6104 0.1948 0.5859
H2 0.4994 0.8589 0.1454
In4 0.3896 0.8052 0.4141
H3 0.8717 0.6784 0.5791
H4 0.5006 0.1411 0.8546
H5 0.1283 0.3216 0.4209
Ir1 0.6873 0.2329 0.3908
H6 0.8852 0.9297 0.2958
Ir2 0.3127 0.7671 0.6092
In5 0.7580 0.7260 0.7601
In6 0.2420 0.2740 0.2399

=====

VASP calculation (GGA-PBE) on an optimized crystal structure of InHIr2.

Results
Magnetization (μB/f.u.): 0.000
Calculated volume (Å³ per atom): 14.377
Space-group type: Fm-3m
Energy (Ry per atom): -0.3786

Cell lengths 4.3325, 4.3325, 4.3325 Å; angles 60.00, 60.00, 60.00 degrees
Positions (direct):
In1 0.5000 0.5000 0.5000
Ir1 0.7500 0.7500 0.7500
H1 0.0000 0.0000 0.0000
Ir2 0.2500 0.2500 0.2500